Computed, not measured: a relaxed structure of SrTlCu2 at the PBEsol level of DFT.

Results
V	21.280	A^3/atom
formation energy	0.193	eV/atom
mass density	8.176	Mg/m³
raw total energy	-3.092	eV per atom

Cell: 4.7037 4.7037 3.8472 Å, 90.00 90.00 90.00°
Space group P4/mmm (No. 123)
Symmetry-distinct sites (fractional):
Sr 0.0000 0.0000 0.0000 [1 per cell]
Tl 0.5000 0.5000 0.0000 [1 per cell]
Cu 0.0000 0.5000 0.5000 [2 per cell]